Compound: CrRuBr2
Source: Alexandria via LeMat-Bulk
Functional: PBE
Structure: relaxed

```
CrRuBr2
1.0
3.535 0.000 0.000
0.000 4.123 0.000
-0.142 0.000 5.595
Cr Ru Br
1 1 2
direct
0.000 0.000 0.000
0.500 0.000 0.500
0.277 0.500 0.258
0.723 0.500 0.742
```

Energy above the lowest structure with this stoichiometry ... 590 meV per atom
Mass density ... 6.37 g cm⁻³
N(E_F) ... 4.59 states/eV/cell
Total energy ... -19.6 eV for the cell shown

---

Compound: CrRuBr2
Source: Alexandria via LeMat-Bulk
Functional: PBE
Structure: relaxed

```
CrRuBr2
1.0
2.977 -1.720 0.000
2.977 1.720 0.000
-0.290 0.000 8.778
Cr Ru Br
1 1 2
direct
0.000 0.000 0.000
0.722 0.722 0.146
0.334 0.334 0.360
0.668 0.668 0.799
```

Energy above the lowest structure with this stoichiometry ... 0 meV per atom
Mass density ... 5.78 g cm⁻³
Total energy ... -21.9 eV for the cell shown

---

Compound: CrRu3Br
Source: Alexandria via LeMat-Bulk
Functional: PBE
Structure: relaxed

```
CrRu3Br
1.0
4.542 0.000 0.000
0.000 4.542 0.000
0.000 0.000 4.542
Cr Ru Br
1 3 1
direct
0.000 0.000 0.000
0.000 0.000 0.500
0.000 0.500 0.000
0.500 0.000 0.000
0.500 0.500 0.500
```

Energy above the lowest structure with this stoichiometry ... 0 meV per atom
Mass density ... 7.71 g cm⁻³
N(E_F) ... 4.23 states/eV/cell
Total energy ... -31.6 eV for the cell shown

---

Compound: CrRuBr2
Source: Alexandria via LeMat-Bulk
Functional: PBE
Structure: relaxed

```
CrRuBr2
1.0
-2.792 2.792 5.459
2.792 -2.792 5.459
2.792 2.792 -5.459
Cr Ru Br
2 2 4
direct
0.000 0.000 0.000
0.750 0.250 0.500
0.250 0.750 0.500
0.500 0.500 0.000
0.108 0.625 0.983
0.375 0.358 0.483
0.642 0.125 0.017
0.875 0.892 0.517
```

Energy above the lowest structure with this stoichiometry ... 864 meV per atom
Mass density ... 6.11 g cm⁻³
N(E_F) ... 8.95 states/eV/cell
Total energy ... -37.0 eV for the cell shown

---

Compound: CrRuBr2
Source: Alexandria via LeMat-Bulk
Functional: PBE
Structure: relaxed

```
CrRuBr2
1.0
0.000 3.405 3.405
3.405 0.000 3.405
3.405 3.405 0.000
Cr Ru Br
1 1 2
direct
0.000 0.000 0.000
0.750 0.750 0.750
0.250 0.250 0.250
0.500 0.500 0.500
```

Energy above the lowest structure with this stoichiometry ... 865 meV per atom
Mass density ... 6.58 g cm⁻³
N(E_F) ... 4.68 states/eV/cell
Total energy ... -18.5 eV for the cell shown

---

Compound: CrRuBr2
Source: Alexandria via LeMat-Bulk
Functional: PBE
Structure: relaxed

```
CrRuBr2
1.0
3.161 0.000 0.000
0.000 3.161 0.000
0.000 0.000 8.551
Cr Ru Br
1 1 2
direct
0.000 0.000 0.000
0.500 0.500 0.172
0.000 0.000 0.378
0.500 0.500 0.807
```

Energy above the lowest structure with this stoichiometry ... 201 meV per atom
Mass density ... 6.08 g cm⁻³
N(E_F) ... 2.27 states/eV/cell
Total energy ... -21.1 eV for the cell shown

---

Compound: CrRuBr2
Source: Alexandria via LeMat-Bulk
Functional: PBE
Structure: relaxed

```
CrRuBr2
1.0
1.774 1.024 8.261
-1.774 1.024 8.261
0.000 -2.048 8.261
Cr Ru Br
1 1 2
direct
0.000 0.000 0.000
0.500 0.500 0.500
0.400 0.400 0.400
0.600 0.600 0.600
```

Energy above the lowest structure with this stoichiometry ... 484 meV per atom
Mass density ... 5.77 g cm⁻³
N(E_F) ... 3.22 states/eV/cell
Total energy ... -20.0 eV for the cell shown

---

Compound: CrRuBr2
Source: Alexandria via LeMat-Bulk
Functional: PBE
Structure: relaxed

```
CrRuBr2
1.0
3.373 0.000 0.000
0.000 3.373 0.000
0.000 0.000 6.746
Cr Ru Br
1 1 2
direct
0.000 0.000 0.000
0.000 0.000 0.500
0.500 0.500 0.249
0.500 0.500 0.751
```

Energy above the lowest structure with this stoichiometry ... 624 meV per atom
Mass density ... 6.77 g cm⁻³
N(E_F) ... 2.56 states/eV/cell
Total energy ... -19.5 eV for the cell shown

---

Compound: CrRuSeBr2
Source: Alexandria via LeMat-Bulk
Functional: PBE
Structure: relaxed

```
CrRuSeBr2
1.0
5.115 0.000 0.000
0.000 5.115 0.000
0.000 0.000 4.589
Cr Ru Se Br
1 1 1 2
direct
0.000 0.000 0.000
0.500 0.500 0.500
0.000 0.000 0.500
0.000 0.500 0.000
0.500 0.000 0.000
```

Energy above the lowest structure with this stoichiometry ... 418 meV per atom
Mass density ... 5.42 g cm⁻³
N(E_F) ... 5.02 states/eV/cell
Total energy ... -21.4 eV for the cell shown

---

Compound: CrRu2SeBr
Source: Alexandria via LeMat-Bulk
Functional: PBE
Structure: relaxed

```
CrRu2SeBr
1.0
4.581 0.000 0.000
0.000 4.581 0.000
0.000 0.000 4.509
Cr Ru Se Br
1 2 1 1
direct
0.000 0.000 0.000
0.000 0.500 0.000
0.500 0.000 0.000
0.500 0.500 0.500
0.000 0.000 0.500
```

Mass density ... 7.25 g cm⁻³
N(E_F) ... 6.82 states/eV/cell
Total energy ... -27.2 eV for the cell shown

---

Compound: CrRuSeBr2
Source: Alexandria via LeMat-Bulk
Functional: PBE
Structure: relaxed

```
CrRuSeBr2
1.0
5.270 0.000 0.000
0.000 5.270 0.000
0.000 0.000 4.635
Cr Ru Se Br
1 1 1 2
direct
0.000 0.000 0.000
0.500 0.500 0.500
0.500 0.500 0.000
0.000 0.500 0.500
0.500 0.000 0.500
```

Energy above the lowest structure with this stoichiometry ... 0 meV per atom
Mass density ... 5.06 g cm⁻³
N(E_F) ... 5.38 states/eV/cell
Total energy ... -23.5 eV for the cell shown

---

Compound: ZnCrRuBr2
Source: Alexandria via LeMat-Bulk
Functional: PBE
Structure: relaxed

```
ZnCrRuBr2
1.0
5.044 0.000 0.000
0.000 5.044 0.000
0.000 0.000 5.114
Zn Cr Ru Br
1 1 1 2
direct
0.000 0.000 0.000
0.000 0.000 0.500
0.500 0.500 0.500
0.000 0.500 0.000
0.500 0.000 0.000
```

Mass density ... 4.83 g cm⁻³
N(E_F) ... 8.83 states/eV/cell
Total energy ... -17.2 eV for the cell shown

---

Q: Which formula does entry 6 have?
A: CrRuBr2

---

Q: The lowest total energy belongs to which entry?
A: number 4

---

Q: What is the mass density in the third record?
A: 7.71 g cm⁻³

---

Q: Number 8 is which compound?
A: CrRuBr2